A plane-wave DFT calculation with GGA-PBE was carried out for Os2Au after structural relaxation.

The structure in POSCAR format:
```
Os2Au
1.0
-1.380 2.173 8.488
1.380 -2.173 8.488
1.380 2.173 -8.488
Os Au
4 2
direct
0.286 0.036 0.250 Os
0.439 0.189 0.250 Os
0.561 0.811 0.750 Os
0.714 0.964 0.750 Os
0.122 0.372 0.750 Au
0.878 0.628 0.250 Au
```

Results
Space group ... Imma (74)
Total magnetization ... 0.00 Bohr magnetons per cell
Energy of formation ... 865 meV/atom